--- A ---
Computed, not measured: crystalline MnPtAu at its relaxed geometry at the PBEsol level of DFT.

Lattice parameters (Å, degrees): 4.963 4.963 4.963 142.21 142.21 54.52
Fractional positions:
1 Mn 0.000 0.000 0.000
2 Pt 0.648 0.648 0.000
3 Au 0.333 0.333 0.000

**DOS(E_F)**: 0.636 states/eV/atom
**Crystal system**: tetragonal

***

--- B ---
Computed, not measured: crystalline MnPtAu at its relaxed geometry at the PBEsol level of DFT.

Lattice parameters (Å, degrees): 4.906 4.906 4.906 146.12 135.97 56.69
Fractional positions:
1 Mn 0.000 0.000 0.000
2 Pt 0.651 0.651 0.000
3 Au 0.331 0.331 0.000

**DOS(E_F)**: 0.396 states/eV/atom
**Crystal system**: orthorhombic

***

Looking at the structures above, B is most stable, and the difference to the next one is 35 meV per atom.